No. 1
! Lu2HfNb PBE-GGA optimized geometry; values from VASP
! - DFT formation energy (eV per atom) = 0.27
! - volume (Å³/f.u.) = 93
! - total magnetization (μB/atom) = 0.003
! - SG = No. 216
&SYSTEM
  ibrav = 0, nat = 4, ntyp = 3
/
ATOMIC_SPECIES
Hf 178.49 Hf.upf
Lu 174.97 Lu.upf
Nb 92.91 Nb.upf
CELL_PARAMETERS angstrom
-2.494 2.512 3.651
-1.077 4.935 -0.589
-4.806 1.480 -0.760
ATOMIC_POSITIONS angstrom
Hf -4.188 4.464 1.151
Lu 0.000 0.000 0.000
Lu -2.094 2.232 0.576
Nb -6.283 6.695 1.727



No. 2
! Li2ScAu PBE-GGA optimized geometry; values from VASP
! - volume (Å³/f.u.) = 69
! - total magnetization (μB/atom) = 0.118
! - SG = No. 216
! - DFT total energy (eV/cell) = -14.87
&SYSTEM
  ibrav = 0, nat = 4, ntyp = 3
/
ATOMIC_SPECIES
Au 196.97 Au.upf
Li 6.94 Li.upf
Sc 44.96 Sc.upf
CELL_PARAMETERS angstrom
-4.104 -0.432 2.041
-2.638 3.713 0.675
-3.859 0.558 -2.449
ATOMIC_POSITIONS angstrom
Au -5.301 1.919 0.134
Li 0.000 0.000 0.000
Li -2.650 0.960 0.067
Sc -7.951 2.879 0.200



No. 3
! NbCd2As PBE-GGA optimized geometry; values from VASP
! - volume (Å³/f.u.) = 77
! - total magnetization (μB/atom) = 0.014
! - SG = No. 216
! - DFT total energy (eV/cell) = -15.11
&SYSTEM
  ibrav = 0, nat = 4, ntyp = 3
/
ATOMIC_SPECIES
As 74.92 As.upf
Cd 112.41 Cd.upf
Nb 92.91 Nb.upf
CELL_PARAMETERS angstrom
0.000 3.379 3.379
3.379 0.000 3.379
3.379 3.379 0.000
ATOMIC_POSITIONS angstrom
As 3.379 3.379 3.379
Cd 0.000 0.000 0.000
Cd 5.069 5.069 5.069
Nb 1.690 1.690 1.690



No. 4
! PtSeS PBE-GGA optimized geometry; values from VASP
! - volume (Å³/f.u.) = 68
! - total magnetization (μB/atom) = 0.001
! - SG = No. 166
! - energy relative to the lowest polymorph listed for this composition (eV per formula unit) = 0.00
&SYSTEM
  ibrav = 0, nat = 6, ntyp = 3
/
ATOMIC_SPECIES
Pt 195.08 Pt.upf
S 32.06 S.upf
Se 78.96 Se.upf
CELL_PARAMETERS angstrom
8.726 -8.008 0.208
10.600 -5.161 -1.146
10.181 -5.524 2.480
ATOMIC_POSITIONS angstrom
Pt 2.383 -1.510 0.125
Pt 27.125 -17.184 1.417
S 11.203 -7.097 0.585
S 18.305 -11.596 0.956
Se 6.323 -4.006 0.330
Se 23.185 -14.688 1.211